# GaCoIr2 (GGA-PBE, relaxed)
data_GaCoIr2
_symmetry_space_group_name_H-M 'P 4/m m m'
_symmetry_Int_Tables_number 123
_symmetry_space_group_name_Hall '-P 4 2'
_cell_length_a 2.8000
_cell_length_b 2.8000
_cell_length_c 6.9917
_cell_angle_alpha 90.00
_cell_angle_beta 90.00
_cell_angle_gamma 90.00
loop_
_atom_site_label
_atom_site_type_symbol
_atom_site_fract_x
_atom_site_fract_y
_atom_site_fract_z
Ga1 Ga 0.0000 0.0000 0.0000
Co1 Co 0.0000 0.0000 0.5000
Ir1 Ir 0.5000 0.5000 0.2558
# * energy: -7.0680 eV/atom
# * energy relative to the elements: -0.10 eV/atom


# Ga3CoIr2 (GGA-PBE, relaxed)
data_Ga3CoIr2
_symmetry_space_group_name_H-M 'P 4/m m m'
_symmetry_Int_Tables_number 123
_symmetry_space_group_name_Hall '-P 4 2'
_cell_length_a 3.0109
_cell_length_b 3.0109
_cell_length_c 8.9722
_cell_angle_alpha 90.00
_cell_angle_beta 90.00
_cell_angle_gamma 90.00
loop_
_atom_site_label
_atom_site_type_symbol
_atom_site_fract_x
_atom_site_fract_y
_atom_site_fract_z
Ga1 Ga 0.0000 0.0000 0.0000
Ga2 Ga 0.0000 0.0000 0.3492
Co1 Co 0.5000 0.5000 0.5000
Ir1 Ir 0.5000 0.5000 0.1733
# * energy: -6.0079 eV/atom
# * energy relative to the elements: -0.36 eV/atom


# GaCoIr (GGA-PBE, relaxed)
data_GaCoIr
_symmetry_space_group_name_H-M 'P 3 m 1'
_symmetry_Int_Tables_number 156
_cell_length_a 4.1110
_cell_length_b 4.1110
_cell_length_c 2.7422
_cell_angle_alpha 90.00
_cell_angle_beta 90.00
_cell_angle_gamma 120.00
loop_
_symmetry_equiv_pos_as_xyz
'x,y,z'
'-y,x-y,z'
'-x+y,-x,z'
'-y,-x,z'
'-x+y,y,z'
'x,x-y,z'
loop_
_atom_site_label
_atom_site_type_symbol
_atom_site_fract_x
_atom_site_fract_y
_atom_site_fract_z
Ga1 Ga 0.0000 0.0000 0.0000
Co1 Co 0.3333 0.6667 0.9943
Ir1 Ir 0.6667 0.3333 0.4958
# * energy: -6.4350 eV/atom
# * energy relative to the elements: -0.10 eV/atom


# GaCo2Ir (GGA-PBE, relaxed)
data_GaCo2Ir
_symmetry_space_group_name_H-M 'P 4/m m m'
_symmetry_Int_Tables_number 123
_symmetry_space_group_name_Hall '-P 4 2'
_cell_length_a 2.6892
_cell_length_b 2.6892
_cell_length_c 6.8468
_cell_angle_alpha 90.00
_cell_angle_beta 90.00
_cell_angle_gamma 90.00
loop_
_atom_site_label
_atom_site_type_symbol
_atom_site_fract_x
_atom_site_fract_y
_atom_site_fract_z
Ga1 Ga 0.0000 0.0000 0.0000
Co1 Co 0.5000 0.5000 0.2442
Ir1 Ir 0.0000 0.0000 0.5000
# * energy: -6.6097 eV/atom
# * energy relative to the elements: -0.08 eV/atom


# GaCoIr (GGA-PBE, relaxed)
data_GaCoIr
_symmetry_space_group_name_H-M 'I 4 m m'
_symmetry_Int_Tables_number 107
_symmetry_space_group_name_Hall 'I 4 -2'
_cell_length_a 2.9161
_cell_length_b 2.9161
_cell_length_c 9.2910
_cell_angle_alpha 90.00
_cell_angle_beta 90.00
_cell_angle_gamma 90.00
loop_
_atom_site_label
_atom_site_type_symbol
_atom_site_fract_x
_atom_site_fract_y
_atom_site_fract_z
Ga1 Ga 0.0000 0.0000 0.0000
Co1 Co 0.0000 0.0000 0.3490
Ir1 Ir 0.0000 0.0000 0.6715
# * energy: -6.4633 eV/atom
# * energy relative to the elements: -0.13 eV/atom


# GaCoIr (GGA-PBE, relaxed)
data_GaCoIr
_symmetry_space_group_name_H-M 'I 4/m m m'
_symmetry_Int_Tables_number 139
_symmetry_space_group_name_Hall '-I 4 2'
_cell_length_a 2.8362
_cell_length_b 2.8362
_cell_length_c 20.5289
_cell_angle_alpha 90.00
_cell_angle_beta 90.00
_cell_angle_gamma 90.00
loop_
_atom_site_label
_atom_site_type_symbol
_atom_site_fract_x
_atom_site_fract_y
_atom_site_fract_z
Ga1 Ga 0.0000 0.0000 0.1411
Co1 Co 0.0000 0.0000 0.2844
Ir1 Ir 0.0000 0.0000 0.4395
# * energy: -6.2841 eV/atom
# * energy relative to the elements: 0.05 eV/atom